No. 1
Material: Li2TaPb
Method: DFT, PBE
State: optimized geometry

Values from the calculation:
* magnetization: 0.00 μB/cell
* formation energy: 33 kJ per mole of atoms

a b c (Å): 2.9859 3.9523 6.5154
angles (deg): 90.00 90.00 90.00
With the nearest neighbours (Å) after each atom.
Positions (direct):
Pb (0.0000, 0.0000, 0.4872)  5 Li 2.98-3.05, 2 Pb 2.99, 4 Ta 3.05
Li (0.5000, 0.5000, 0.2342)  6 Li 2.85-2.99, 4 Pb 2.98, 1 Ta 3.09
Li (0.0000, 0.0000, 0.0184)  6 Li 2.85-2.99, 4 Ta 2.99, 1 Pb 3.05
Ta (0.5000, 0.5000, 0.7602)  2 Ta 2.99, 5 Li 2.99-3.09, 4 Pb 3.05

***

No. 2
Material: MnH3Ir
Method: DFT, PBE
State: optimized geometry

Values from the calculation:
* magnetization: 4.32 μB/cell

a b c (Å): 3.5011 3.5011 3.5011
angles (deg): 90.00 90.00 90.00
With the nearest neighbours (Å) after each atom.
Positions (direct):
H (0.0000, 0.0000, 0.5000)  2 Ir 1.75
H (0.0000, 0.5000, 0.0000)  2 Ir 1.75
H (0.5000, 0.0000, 0.0000)  2 Ir 1.75
Ir (0.0000, 0.0000, 0.0000)  6 H 1.75
Mn (0.5000, 0.5000, 0.5000)  12 H 2.48

***

No. 3
Material: GdYTh2
Method: DFT, PBE
State: optimized geometry

Values from the calculation:
* magnetization: 6.98 μB/cell
* formation energy: 15 kJ per mole of atoms
* distance to the lowest polymorph of the same formula: 97.5 meV/atom

a b c (Å): 5.6690 5.6690 5.6690
angles (deg): 60.00 60.00 60.00
With the nearest neighbours (Å) after each atom.
Positions (direct):
Y (0.0000, 0.0000, 0.0000)  8 Th 3.47
Th (0.7500, 0.7500, 0.7500)  4 Gd 3.47, 4 Y 3.47
Th (0.2500, 0.2500, 0.2500)  4 Y 3.47, 4 Gd 3.47
Gd (0.5000, 0.5000, 0.5000)  8 Th 3.47

***

No. 4
Material: Ca2CuHPb
Method: DFT, PBE
State: optimized geometry

Values from the calculation:
* magnetization: 0.00 μB/cell

a b c (Å): 5.3455 5.3455 3.6971
angles (deg): 90.00 90.00 90.00
With the nearest neighbours (Å) after each atom.
Positions (direct):
Ca (0.5000, 0.0000, 0.0000)  2 H 2.67
Ca (0.0000, 0.5000, 0.0000)  2 H 2.67
Cu (0.0000, 0.0000, 0.5000)  2 H 1.85
H (0.0000, 0.0000, 0.0000)  2 Cu 1.85
Pb (0.5000, 0.5000, 0.5000)  8 Ca 3.25

***

No. 5
Material: Tb3ErZn
Method: DFT, PBE
State: optimized geometry

Values from the calculation:
* magnetization: 0.00 μB/cell
* formation energy: -2 kJ per mole of atoms

a b c (Å): 6.6410 6.6410 8.5510
angles (deg): 88.04 120.34 113.18
With the nearest neighbours (Å) after each atom.
Positions (direct):
Tb (0.7379, 0.9133, 0.1497)  2 Zn 3.12, 2 Er 3.42, 2 Tb 3.42-3.43
Tb (0.2364, 0.4118, 0.1497)  2 Zn 3.12, 2 Er 3.42, 2 Tb 3.42-3.43
Tb (0.7636, 0.5882, 0.8503)  2 Zn 3.12, 2 Er 3.42, 2 Tb 3.42-3.43
Tb (0.1768, 0.5575, 0.7343)  2 Zn 3.27-3.30, 7 Tb 3.38-3.52, 2 Er 3.66
Tb (0.2621, 0.0867, 0.8503)  2 Zn 3.12, 2 Er 3.42, 2 Tb 3.42-3.43
Tb (0.8232, 0.4425, 0.2657)  2 Zn 3.27-3.30, 7 Tb 3.38-3.52, 2 Er 3.66
Er (0.6768, 0.0594, 0.7361)  2 Zn 3.22, 1 Er 3.41, 6 Tb 3.42-3.50
Er (0.3232, 0.9406, 0.2639)  2 Zn 3.22, 1 Er 3.41, 6 Tb 3.42-3.50
Zn (0.7461, 0.7536, 0.4997)  6 Tb 3.12-3.30, 2 Er 3.22
Zn (0.2539, 0.2464, 0.5003)  6 Tb 3.12-3.30, 2 Er 3.22

***

No. 6
Material: ScBe2Si
Method: DFT, PBE
State: optimized geometry

Values from the calculation:
* magnetization: 0.00 μB/cell
* ΔE_f (raw): 56.7 meV/atom

a b c (Å): 4.7081 4.7081 4.7081
angles (deg): 133.28 133.28 68.22
With the nearest neighbours (Å) after each atom.
Positions (direct):
Be (0.2500, 0.7500, 0.5000)  4 Si 2.64, 4 Be 2.70, 4 Sc 2.70
Be (0.0000, 0.0000, 0.0000)  4 Sc 2.64, 4 Be 2.70, 4 Si 2.70
Si (0.7500, 0.2500, 0.5000)  8 Be 2.64-2.70, 4 Sc 2.70
Sc (0.5000, 0.5000, 0.0000)  8 Be 2.64-2.70, 4 Si 2.70

***

Looking at calculated total energy for the records above, in order, we have -18.04 -27.41 -34.77 -16.76 -39.65 -18.98 eV/cell.